DFT (PBE-GGA) results for a relaxed LaNdCoNi crystal.

Cell: 4.9386 4.9386 4.9386 Å, 60.00 60.00 60.00°
Atoms (fractional coordinates):
Nd: 0.2500 0.2500 0.2500
Ni: 0.0000 0.0000 0.0000
La: 0.7500 0.7500 0.7500
Co: 0.5000 0.5000 0.5000

Computed properties:
The calculation puts the formation energy at -0.09 eV per atom. Its offset from the most stable computed form is 0.383 eV/f.u. As for the density of states at the Fermi level: 2.5 states/eV per cell. The magnetization comes out at 0.0 μB/cell.